Density functional theory data (PBE-GGA) for crystalline La2CeGe at its relaxed geometry.

Cell and atoms, written as extended XYZ:
```
4
Lattice="-3.0657 1.0534 2.3291 -2.3555 0.2484 -3.2128 -1.7762 -6.8734 0.7709" Properties=species:S:1:pos:R:3 pbc="T T T"
Ge -2.7106 0.6509 -0.4419
Ce -3.5987 -2.7858 -0.0565
La -1.3922 -5.3875 0.6042
La -0.3840 -1.4860 0.1667
```

## Properties
Crystal system = tetragonal
DOS at the Fermi energy = 1.436 states/eV per atom
Polymorph energy (0 for the lowest one) = 66 meV per atom
Calculated formation energy = -0.3223 eV/atom
Spin magnetization = 0.30 μB/cell
E_tot = -5.42 eV/atom